The following is a PBE calculation of a relaxed structure of AgRuAu2, from Alexandria.

Lattice parameters (Å, degrees): 4.938 4.938 5.205 81.77 81.77 32.79
Atoms (fractional coordinates):
Ag 0.250 0.250 0.250
Au 0.495 0.495 0.506
Au 0.005 0.005 0.994
Ru 0.750 0.750 0.750

Output
**Crystal system**: monoclinic
**Space group**: C2/m, No. 12
**Energy above the lowest structure with this stoichiometry**: 0.1111 eV/atom
**Total moment**: 0.265 μB/atom
**Energy of formation from the pure elements**: 359 meV/atom
**E_tot**: -0.1584 hartree per atom

The following is a PBE calculation of a relaxed structure of NaUO3, from Alexandria.

Lattice parameters (Å, degrees): 5.823 5.962 8.345 90.00 90.00 90.00
Atoms (fractional coordinates):
U 0.500 0.000 0.000
U 0.500 0.000 0.500
U 0.000 0.500 0.000
U 0.000 0.500 0.500
O 0.299 0.703 0.951
O 0.906 0.530 0.750
O 0.094 0.470 0.250
O 0.406 0.970 0.250
O 0.701 0.297 0.451
O 0.701 0.297 0.049
O 0.201 0.203 0.549
O 0.594 0.030 0.750
O 0.799 0.797 0.049
O 0.201 0.203 0.951
O 0.799 0.797 0.451
O 0.299 0.703 0.549
Na 0.493 0.470 0.750
Na 0.993 0.030 0.250
Na 0.007 0.970 0.750
Na 0.507 0.530 0.250

Output
**Crystal system**: orthorhombic
**Space group**: Pnma, No. 62
**Total moment**: 0.200 μB/atom
**E_tot**: -0.3072 hartree per atom

The following is a PBE calculation of a relaxed structure of Rb2RuBr6N, from Alexandria.

Lattice parameters (Å, degrees): 7.027 7.027 7.711 62.89 62.89 90.00
Atoms (fractional coordinates):
Rb 0.250 0.750 0.500
Rb 0.750 0.250 0.500
Br 0.260 0.740 0.000
Br 0.740 0.740 0.000
Br 0.740 0.260 0.000
Br 0.260 0.260 0.000
Br 0.785 0.785 0.430
Br 0.215 0.215 0.570
N 0.500 0.500 0.000
Ru 0.000 0.000 0.000

Output
**Crystal system**: tetragonal
**Space group**: I4/mmm, No. 139
**Total moment**: 0.177 μB/atom
**E_tot**: -0.1183 hartree per atom

The following is a PBE calculation of a relaxed structure of LiYIr2, from Alexandria.

Lattice parameters (Å, degrees): 4.953 4.953 4.953 131.06 130.99 71.77
Atoms (fractional coordinates):
Ir 0.000 0.000 0.000
Ir 0.500 0.500 0.000
Li 0.250 0.750 0.500
Y 0.750 0.250 0.500

Output
**Crystal system**: tetragonal
**Space group**: I4/mmm, No. 139
**Total moment**: 0.000 μB/atom
**Energy of formation from the pure elements**: -319 meV/atom
**E_tot**: -0.2515 hartree per atom

The following is a PBE calculation of a relaxed structure of La2IrAu, from Alexandria.

Lattice parameters (Å, degrees): 4.245 4.245 7.657 73.86 73.86 59.96
Atoms (fractional coordinates):
Ir 0.250 0.250 0.250
La 0.989 0.989 0.033
La 0.511 0.511 0.467
Au 0.750 0.750 0.750

Output
**Crystal system**: trigonal
**Space group**: R-3m, No. 166
**Total moment**: 0.000 μB/atom
**Energy of formation from the pure elements**: -792 meV/atom
**E_tot**: -0.2312 hartree per atom

The following is a PBE calculation of a relaxed structure of LiZn2Cu12, from Alexandria.

Lattice parameters (Å, degrees): 4.748 4.748 18.591 90.00 90.00 90.00
Atoms (fractional coordinates):
Cu 0.687 0.813 0.121
Cu 0.000 0.000 0.217
Cu 0.687 0.187 0.879
Cu 0.500 0.500 0.217
Cu 0.187 0.687 0.121
Cu 0.000 0.000 0.344
Cu 0.177 0.323 0.440
Cu 0.313 0.187 0.121
Cu 0.500 0.500 0.783
Cu 0.322 0.822 0.440
Cu 0.813 0.687 0.879
Cu 0.000 0.000 0.656
Cu 0.500 0.500 0.656
Cu 0.813 0.313 0.121
Cu 0.000 0.000 0.783
Cu 0.822 0.322 0.560
Cu 0.678 0.178 0.440
Cu 0.500 0.500 0.344
Cu 0.323 0.177 0.560
Cu 0.313 0.813 0.879
Cu 0.677 0.823 0.560
Cu 0.187 0.313 0.879
Cu 0.178 0.678 0.560
Cu 0.823 0.677 0.440
Zn 0.000 0.500 0.283
Zn 0.500 0.000 0.717
Zn 0.500 0.000 0.283
Zn 0.000 0.500 0.717
Li 0.000 0.500 0.000
Li 0.500 0.000 0.000

Output
**Crystal system**: tetragonal
**Space group**: P4/nbm, No. 125
**Total moment**: 0.000 μB/atom
**Energy of formation from the pure elements**: 162 meV/atom
**E_tot**: -0.1254 hartree per atom